This record from the Alexandria database describes a relaxed CuTe3Br crystal. The functional is PBE-GGA.

Output
Offset from the most stable computed form (meV/atom): 12.2
DOS at the Fermi energy (states/eV/f.u.): 1.7
Magnetic moment (μB per atom): 0.00
Formation energy (no corrections) (meV per atom): -43

Lattice parameters (Å, degrees): 6.8929 11.1897 11.1897 92.85 66.56 66.56
Last column: nearest neighbours and their distance in Å.
Fractional coordinates of all 20 atoms:
1 Te 0.5511 0.6361 0.1007  1 Cu 2.66, 1 Te 2.75
2 Te 0.7238 0.9709 0.6407  1 Cu 2.66, 1 Te 2.75
3 Te 0.9926 0.3301 0.2227  2 Cu 2.59-2.60, 1 Br 2.84
4 Br 0.7500 0.5581 0.4419  2 Te 2.84
5 Cu 0.0679 0.8776 0.7141  4 Te 2.59-2.66, 1 Br 2.65
6 Cu 0.4321 0.2859 0.1224  4 Te 2.59-2.66, 1 Br 2.65
7 Br 0.7500 0.0507 0.9493  2 Cu 2.65
8 Br 0.2500 0.9493 0.0507  2 Cu 2.65
9 Te 0.9489 0.8993 0.3639  1 Cu 2.66, 1 Te 2.75
10 Te 0.2762 0.0291 0.3593  1 Cu 2.66, 1 Te 2.75
11 Te 0.4489 0.3639 0.8993  1 Cu 2.66, 1 Te 2.75
12 Te 0.0511 0.1007 0.6361  1 Cu 2.66, 1 Te 2.75
13 Te 0.5074 0.7773 0.6699  2 Cu 2.59-2.60, 1 Br 2.84
14 Te 0.0074 0.6699 0.7773  2 Cu 2.59-2.60, 1 Br 2.84
15 Cu 0.9321 0.1224 0.2859  4 Te 2.59-2.66, 1 Br 2.65
16 Te 0.7762 0.3593 0.0291  1 Cu 2.66, 1 Te 2.75
17 Cu 0.5679 0.7141 0.8776  4 Te 2.59-2.66, 1 Br 2.65
18 Te 0.2238 0.6407 0.9709  1 Cu 2.66, 1 Te 2.75
19 Te 0.4926 0.2227 0.3301  2 Cu 2.59-2.60, 1 Br 2.84
20 Br 0.2500 0.4419 0.5581  2 Te 2.84